An optimized crystal structure of CaSiSb, computed with PBE.

Offset from the most stable computed form ... 0 meV/atom
Uncorrected formation energy ... -0.238 eV per atom

a b c (Å): 4.7171 4.7171 4.1446
angles (deg): 90.00 90.00 120.00
Space group P-6m2 (No. 187)
Unique sites:
Ca  0.0000  0.0000  0.0000 x1
Si  0.6667  0.3333  0.5000 x1
Sb  0.3333  0.6667  0.5000 x1


An optimized crystal structure of TcBrO2F, computed with PBE.

Uncorrected formation energy ... -0.709 eV per atom

a b c (Å): 3.880 3.880 4.275
angles (deg): 90.00 90.00 90.00
Space group P4/mmm (No. 123)
Unique sites:
Tc  0.000  0.000  0.000 x1
Br  0.500  0.500  0.500 x1
O  0.000  0.500  0.000 x2
F  0.000  0.000  0.500 x1


An optimized crystal structure of Pu2MgSe4, computed with PBE.

Uncorrected formation energy ... -1.349 eV per atom

a b c (Å): 14.686 4.106 7.264
angles (deg): 90.00 118.91 90.00
Space group C2/m (No. 12)
Unique sites:
Pu  0.229  0.000  0.223 x4
Mg  0.000  0.500  0.500 x2
Se  0.120  0.500  0.925 x4
Se  0.131  0.000  0.489 x4


An optimized crystal structure of MgSn2Pb8, computed with PBE.

Offset from the most stable computed form ... 49 meV/atom
E_form ... 0.091 eV per atom

a b c (Å): 14.133 8.897 5.818
angles (deg): 90.00 102.66 90.00
Space group C2/m (No. 12)
Unique sites:
Mg  0.000  0.000  0.000 x2
Sn  0.115  0.000  0.508 x4
Pb  0.073  0.294  0.790 x8
Pb  0.137  0.500  0.351 x4
Pb  0.227  0.000  0.068 x4


An optimized crystal structure of TiNbHg, computed with PBE.

Offset from the most stable computed form ... 69 meV/atom
E_form ... 0.023 eV per atom

a b c (Å): 3.279 3.279 22.556
angles (deg): 90.00 90.00 90.00
Space group I4/mmm (No. 139)
Unique sites:
Ti  0.000  0.000  0.145 x4
Nb  0.000  0.000  0.286 x4
Hg  0.000  0.000  0.437 x4


An optimized crystal structure of Li2SnPd8, computed with PBE.

Offset from the most stable computed form ... 67 meV/atom
E_form ... -0.277 eV per atom

a b c (Å): 4.167 6.823 12.026
angles (deg): 90.00 90.00 90.00
Space group Immm (No. 71)
Unique sites:
Li  0.000  0.000  0.199 x4
Sn  0.000  0.000  0.500 x2
Pd  0.000  0.193  0.000 x4
Pd  0.000  0.286  0.342 x8
Pd  0.000  0.500  0.151 x4


The records above yield raw total energy values of -0.3004 -0.4024 -0.5632 -0.2557 -0.4458 -0.3503 Ry/atom, respectively.